KHgRu2 after structural relaxation. Source: Alexandria, functional GGA-PBE.

The structure in POSCAR format:
```
KHgRu2
1.0
2.825 0.000 0.000
0.000 4.662 0.000
0.000 0.000 6.999
Ru K Hg
2 1 1
Cartesian
0.000 0.000 2.903 Ru
0.000 0.000 0.597 Ru
1.413 2.331 5.249 K
1.413 2.331 1.750 Hg
```

## Properties
- raw total energy (Ha/atom) = -0.1496
- DFT formation energy (eV/atom) = 0.92